1.
Material: Na2BeSnCl6
Method: DFT, PBE-GGA
State: relaxed

Total DFT energy (no corrections): -3.556 eV/atom
Formation energy from raw total energies: -1411 meV/atom
Space group: R3, No. 146

Geometry as POSCAR:
```
Na2BeSnCl6
1.0
3.4083 1.9678 6.9714
-3.4083 1.9678 6.9714
0.0000 -3.9356 6.9714
Na Be Sn Cl
2 1 1 6
Cartesian
0.0000 0.0000 0.0000 Na
0.0000 0.0000 10.1668 Na
0.0000 0.0000 5.1119 Be
0.0000 0.0000 14.3455 Sn
-2.3767 0.0001 8.6821 Cl
-1.0608 -2.3135 12.0795 Cl
1.1883 -2.0583 8.6821 Cl
-1.4732 2.0754 12.0796 Cl
1.1884 2.0582 8.6821 Cl
2.5340 0.2381 12.0795 Cl
```

---

2.
Material: Mg2BeB10
Method: DFT, PBE-GGA
State: relaxed

Total DFT energy (no corrections): -5.635 eV/atom
E_form: 0.0339 eV/atom
Space group: Pbam, No. 55

Geometry as POSCAR:
```
Mg2BeB10
1.0
5.6450 0.0000 0.0000
0.0000 10.6081 0.0000
0.0000 0.0000 4.1480
Mg Be B
4 2 20
Cartesian
1.3520 1.2811 0.0000 Mg
1.4705 6.5851 0.0000 Mg
4.1745 4.0229 0.0000 Mg
4.2930 9.3270 0.0000 Mg
0.0000 0.0000 2.0740 Be
2.8225 5.3040 2.0740 Be
0.0845 8.6673 2.0740 B
0.7107 4.8609 2.0740 B
1.0280 3.1481 2.0740 B
1.0900 9.4111 0.8282 B
1.0900 9.4111 3.3198 B
1.7325 4.1071 0.8282 B
1.7325 4.1071 3.3198 B
1.7945 8.4521 2.0740 B
2.1118 10.1649 2.0740 B
2.7380 3.3633 2.0740 B
2.9070 7.2448 2.0740 B
3.5332 0.4432 2.0740 B
3.8505 2.1559 2.0740 B
3.9125 6.5010 0.8282 B
3.9125 6.5010 3.3198 B
4.5550 1.1970 0.8282 B
4.5550 1.1970 3.3198 B
4.6170 7.4600 2.0740 B
4.9343 5.7472 2.0740 B
5.5605 1.9408 2.0740 B
```

---

3.
Material: CsRbTe3
Method: DFT, PBE-GGA
State: relaxed

Total DFT energy (no corrections): -2.950 eV/atom
Excess energy over the best structure of this formula in the dataset: 0.000 eV per formula unit
Formation energy from raw total energies: -701 meV/atom
Space group: P2_1/m, No. 11

Geometry as POSCAR:
```
CsRbTe3
1.0
10.6174 0.0000 0.0000
0.0000 5.3690 0.0000
-4.6630 0.0000 9.6239
Cs Rb Te
2 2 6
Cartesian
0.4157 1.3422 2.2077 Cs
5.5387 4.0267 7.4161 Cs
1.0404 4.0267 7.6278 Rb
4.9139 1.3422 1.9961 Rb
-1.9699 1.3422 8.4132 Te
-2.0012 4.0267 9.6033 Te
2.7379 4.0267 4.2917 Te
3.2165 1.3422 5.3321 Te
7.9556 1.3422 0.0205 Te
7.9243 4.0267 1.2106 Te
```

---

4.
Material: Sb4As2Br3
Method: DFT, PBE-GGA
State: relaxed

Total DFT energy (no corrections): -3.587 eV/atom
Formation energy from raw total energies: -164 meV/atom
Space group: C2/c, No. 15

Geometry as POSCAR:
```
Sb4As2Br3
1.0
7.8485 -5.4245 0.0000
7.8485 5.4245 0.0000
-3.6275 0.0000 6.7285
Sb As Br
8 4 6
Cartesian
3.1592 1.1406 0.2124 Sb
3.1405 2.7085 5.0649 Sb
1.3454 -1.1406 3.5767 Sb
7.1153 2.7085 5.0279 Sb
4.9542 -2.7085 1.7007 Sb
10.7241 1.1406 3.1518 Sb
8.9291 -2.7085 1.6636 Sb
8.9104 -1.1406 6.5161 Sb
0.9526 1.4735 4.0520 As
2.7663 -1.4735 0.6877 As
9.3032 1.4735 6.0408 As
11.1170 -1.4735 2.6766 As
6.9417 5.0106 1.6821 Br
4.9920 1.0831 2.1634 Br
3.1783 -1.0831 5.5276 Br
8.8913 1.0831 1.2009 Br
7.0775 -1.0831 4.5652 Br
5.1279 -5.0106 5.0464 Br
```

---

5.
Material: VGe3Pd
Method: DFT, PBE-GGA
State: relaxed

Total DFT energy (no corrections): -5.207 eV/atom
E_form: 0.4254 eV/atom
Space group: Pm-3m, No. 221

Geometry as POSCAR:
```
VGe3Pd
1.0
4.6997 0.0000 0.0000
0.0000 4.6997 0.0000
0.0000 0.0000 4.6997
V Ge Pd
1 3 1
Cartesian
0.0000 0.0000 0.0000 V
0.0000 0.0000 2.3498 Ge
0.0000 2.3498 0.0000 Ge
2.3498 0.0000 0.0000 Ge
2.3498 2.3498 2.3498 Pd
```

---

6.
Material: YTiCo2
Method: DFT, PBE-GGA
State: relaxed

Total DFT energy (no corrections): -6.870 eV/atom
Excess energy over the best structure of this formula in the dataset: 1.992 eV per formula unit
E_form: 0.2724 eV/atom
Space group: I-42d, No. 122

Geometry as POSCAR:
```
YTiCo2
1.0
-2.2853 2.2853 7.5452
2.2853 -2.2853 7.5452
2.2853 2.2853 -7.5452
Y Ti Co
2 2 4
Cartesian
0.0000 0.0000 0.0000 Y
0.0000 2.2853 3.7726 Y
2.2853 0.0000 3.7726 Ti
0.0000 0.0000 7.5452 Ti
1.1427 -0.2231 5.6589 Co
2.0622 1.1427 1.8863 Co
1.1427 2.5084 -1.8863 Co
0.2231 1.1427 9.4315 Co
```

---

7.
Material: LaCdSe
Method: DFT, PBE-GGA
State: relaxed

Total DFT energy (no corrections): -3.938 eV/atom
Excess energy over the best structure of this formula in the dataset: 1.106 eV per formula unit
Formation energy from raw total energies: -829 meV/atom
Space group: P3m1, No. 156

Geometry as POSCAR:
```
LaCdSe
1.0
4.8829 0.0000 0.0000
-2.4414 4.2287 0.0000
0.0000 0.0000 4.6694
La Cd Se
1 1 1
Cartesian
0.0000 0.0000 0.0000 La
0.0000 2.8191 2.5610 Cd
2.4414 1.4096 0.6821 Se
```

---

8.
Material: NaCe4Pu3Se8
Method: DFT, PBE-GGA
State: relaxed

Total DFT energy (no corrections): -7.637 eV/atom
Formation energy from raw total energies: -1642 meV/atom
Space group: R-3m, No. 166

Geometry as POSCAR:
```
NaCe4Pu3Se8
1.0
4.1723 2.4089 6.8789
-4.1723 2.4089 6.8789
0.0000 -4.8177 6.8789
Na Ce Pu Se
1 4 3 8
Cartesian
0.0000 0.0000 0.0000 Na
-4.1723 0.0000 10.3184 Ce
-2.0861 1.2044 3.4395 Ce
2.0861 1.2044 3.4395 Ce
0.0000 0.0000 10.3184 Ce
-2.0861 -1.2044 6.8789 Pu
-2.0861 1.2044 13.7578 Pu
0.0000 2.4089 6.8789 Pu
0.0000 -2.4057 8.5674 Se
-2.0834 1.2029 8.5674 Se
0.0000 0.0000 5.2076 Se
-2.0834 -1.2029 12.0694 Se
2.0834 1.2029 8.5674 Se
0.0000 0.0000 15.4291 Se
2.0834 -1.2029 12.0694 Se
0.0000 2.4057 12.0694 Se
```